Record 1
TaFe3Pt: optimized geometry, PBE.

Properties
E above lowest polymorph   11.8 kJ/mol of atoms
DFT formation energy   1.472 eV/atom
Symmetry   Pm-3m, No. 221

a b c (Å): 4.444 4.444 4.444
angles (deg): 90.00 90.00 90.00
Fractional coordinates of all 5 atoms:
Ta (0.000, 0.000, 0.000)
Fe (0.000, 0.000, 0.500)
Fe (0.000, 0.500, 0.000)
Fe (0.500, 0.000, 0.000)
Pt (0.500, 0.500, 0.500)

---

Record 2
KHgRh2: optimized geometry, PBE.

Properties
DFT formation energy   0.460 eV/atom
Symmetry   Imm2, No. 44

a b c (Å): 2.870 5.273 10.934
angles (deg): 90.00 90.00 90.00
Fractional coordinates of all 8 atoms:
K (0.000, 0.000, 0.000)
K (0.500, 0.500, 0.500)
Hg (0.000, 0.500, 0.207)
Hg (0.500, 0.000, 0.707)
Rh (0.000, 0.000, 0.477)
Rh (0.000, 0.500, 0.784)
Rh (0.500, 0.000, 0.284)
Rh (0.500, 0.500, 0.977)

---

Record 3
TiSi2RuPt: optimized geometry, PBE.

Properties
Symmetry   P4/mmm, No. 123
ΔE_f (raw)   1.108 eV/atom

a b c (Å): 4.612 4.612 4.612
angles (deg): 90.00 90.00 90.00
Fractional coordinates of all 5 atoms:
Ti (0.000, 0.000, 0.000)
Si (0.000, 0.500, 0.000)
Si (0.500, 0.000, 0.000)
Ru (0.500, 0.500, 0.500)
Pt (0.000, 0.000, 0.500)

---

Record 4
SrZn3CuPd: optimized geometry, PBE.

Properties
DFT formation energy   -0.206 eV/atom
Symmetry   Cmcm, No. 63

a b c (Å): 7.168 7.168 5.738
angles (deg): 90.00 90.00 125.62
Fractional coordinates of all 12 atoms:
Sr (0.230, 0.770, 0.750)
Sr (0.770, 0.230, 0.250)
Zn (0.200, 0.200, 0.000)
Zn (0.200, 0.200, 0.500)
Zn (0.342, 0.658, 0.250)
Zn (0.658, 0.342, 0.750)
Zn (0.800, 0.800, 0.000)
Zn (0.800, 0.800, 0.500)
Cu (0.467, 0.533, 0.750)
Cu (0.533, 0.467, 0.250)
Pd (0.139, 0.861, 0.250)
Pd (0.861, 0.139, 0.750)

---

Record 5
Hg2PbBr: optimized geometry, PBE.

Properties
E above lowest polymorph   6.8 kJ/mol of atoms
Symmetry   R-3m, No. 166
ΔE_f (raw)   -0.141 eV/atom

a b c (Å): 4.139 4.139 24.853
angles (deg): 90.00 90.00 120.00
Fractional coordinates of all 12 atoms:
Hg (0.000, 0.000, 0.250)
Hg (0.000, 0.000, 0.750)
Hg (0.333, 0.667, 0.416)
Hg (0.333, 0.667, 0.917)
Hg (0.667, 0.333, 0.083)
Hg (0.667, 0.333, 0.584)
Pb (0.000, 0.000, 0.000)
Pb (0.333, 0.667, 0.667)
Pb (0.667, 0.333, 0.333)
Br (0.000, 0.000, 0.500)
Br (0.333, 0.667, 0.167)
Br (0.667, 0.333, 0.833)

---

Record 6
LiTeRuN2: optimized geometry, PBE.

Properties
E above lowest polymorph   0.0 kJ/mol of atoms
Symmetry   P4/mmm, No. 123
ΔE_f (raw)   0.451 eV/atom

a b c (Å): 3.816 3.816 5.785
angles (deg): 90.00 90.00 90.00
Fractional coordinates of all 5 atoms:
Li (0.000, 0.000, 0.000)
Te (0.500, 0.500, 0.000)
Ru (0.500, 0.500, 0.500)
N (0.000, 0.500, 0.500)
N (0.500, 0.000, 0.500)

---

Record 7
FeAgRh: optimized geometry, PBE.

Properties
E above lowest polymorph   7.0 kJ/mol of atoms
DFT formation energy   0.243 eV/atom
Symmetry   Fmm2, No. 42

a b c (Å): 3.055 4.465 13.255
angles (deg): 90.00 90.00 90.00
Fractional coordinates of all 12 atoms:
Fe (0.000, 0.000, 0.000)
Fe (0.000, 0.500, 0.500)
Fe (0.500, 0.000, 0.500)
Fe (0.500, 0.500, 0.000)
Ag (0.000, 0.000, 0.329)
Ag (0.000, 0.500, 0.829)
Ag (0.500, 0.000, 0.829)
Ag (0.500, 0.500, 0.329)
Rh (0.000, 0.000, 0.648)
Rh (0.000, 0.500, 0.148)
Rh (0.500, 0.000, 0.148)
Rh (0.500, 0.500, 0.648)

---

Record 8
AcZn2Ru2C: optimized geometry, PBE.

Properties
DFT formation energy   -0.224 eV/atom
Symmetry   P4/mmm, No. 123

a b c (Å): 4.165 4.165 5.797
angles (deg): 90.00 90.00 90.00
Fractional coordinates of all 6 atoms:
Ac (0.000, 0.000, 0.000)
Zn (0.500, 0.500, 0.228)
Zn (0.500, 0.500, 0.772)
Ru (0.000, 0.500, 0.500)
Ru (0.500, 0.000, 0.500)
C (0.000, 0.000, 0.500)

---

Number 1: total magnetic moment 1.0524 μB per atom. Number 2: total magnetic moment 0.1196 μB per atom. Number 3: total magnetic moment 0.4167 μB per atom. Number 4: total magnetic moment 0.0000 μB per atom. Number 5: total magnetic moment 0.0000 μB per atom. Number 6: total magnetic moment 0.0615 μB per atom. Number 7: total magnetic moment 1.2330 μB per atom. Number 8: total magnetic moment 0.0000 μB per atom.